Compound: CaPm12Ni6
Source: the Alexandria database
Functional: PBE-GGA
Structure: relaxed

Cell lengths 10.1552, 10.1552, 10.1552 Å; angles 90.00, 90.00, 90.00 degrees
Last column: nearest neighbours and their distance in Å.
Space group Im-3 (No. 204)
Inequivalent atoms, fractional coordinates:
Ca 0.0000 0.0000 0.0000 (multiplicity 2)  12 Pm 3.72
Pm 0.0000 0.3148 0.1873 (multiplicity 24)  3 Ni 2.71-2.94
Ni 0.0000 0.1202 0.5000 (multiplicity 12)  1 Ni 2.44, 2 Pm 2.71

Values from the calculation:
- Spin magnetization: 0.00 μB per formula unit
- Formation enthalpy at 0 K: -352 kJ/mol of formula units
- Energy: -194.7 eV per cell